# 1
PBE SmPd4Au3, relaxed; formation energy from the elements = -0.439 eV/atom; VASP energy = -4.85 eV/atom; calculated volume = 286.1 Å³/cell; M_tot = 0.00 μB per formula unit
1.0
-0.159 -4.953 0.507
6.089 -0.160 0.341
-0.499 0.973 9.350
Pd Au Sm
8 6 2
Direct
0.500 0.242 0.500
0.500 0.758 0.000
0.856 0.235 0.250
0.856 0.765 0.250
0.144 0.765 0.750
0.144 0.235 0.750
0.500 0.242 0.000
0.500 0.758 0.500
0.600 0.500 0.750
0.351 0.000 0.250
0.000 0.000 0.000
0.000 0.000 0.500
0.649 0.000 0.750
0.400 0.500 0.250
0.000 0.500 0.500
0.000 0.500 0.000


# 2
PBE Sm4Pd3Au, relaxed; formation energy from the elements = -0.843 eV/atom; VASP energy = -5.56 eV/atom; calculated volume = 194.3 Å³/cell; M_tot = 0.00 μB per formula unit
1.0
3.840 0.000 0.000
0.000 4.685 0.000
0.000 0.000 10.798
Au Pd Sm
1 3 4
Direct
0.500 0.500 0.084
0.000 0.000 0.415
0.500 0.000 0.914
0.000 0.500 0.585
0.500 0.000 0.637
0.000 0.500 0.858
0.000 0.000 0.139
0.500 0.500 0.368


# 3
PBE SmPd6Au3, relaxed; formation energy from the elements = -0.216 eV/atom; VASP energy = -4.79 eV/atom; calculated volume = 364.9 Å³/cell; M_tot = 0.00 μB per formula unit
1.0
-0.530 2.625 2.415
-1.250 -6.561 6.859
10.364 0.189 2.071
Pd Au Sm
12 6 2
Direct
0.000 0.911 0.743
0.000 0.707 0.082
0.500 0.232 0.111
0.000 0.293 0.918
0.500 0.793 0.582
0.000 0.089 0.257
0.500 0.589 0.243
0.500 0.768 0.889
0.500 0.411 0.757
0.500 0.207 0.418
0.000 0.268 0.611
0.000 0.732 0.389
0.000 0.000 0.500
0.000 0.379 0.281
0.500 0.121 0.781
0.500 0.500 0.000
0.000 0.621 0.719
0.500 0.879 0.219
0.000 0.000 0.000
0.500 0.500 0.500


# 4
PBE Sm8Pd2Au, relaxed; formation energy from the elements = -0.426 eV/atom; VASP energy = -5.10 eV/atom; calculated volume = 312.7 Å³/cell; M_tot = 0.00 μB per formula unit
1.0
5.218 0.000 0.000
0.000 6.841 0.058
-2.609 -2.886 8.737
Sm Pd Au
8 2 1
Direct
0.326 0.996 0.652
0.674 0.004 0.348
0.798 0.656 0.596
0.202 0.344 0.404
0.029 0.784 0.058
0.407 0.529 0.814
0.593 0.471 0.186
0.971 0.216 0.942
0.173 0.738 0.346
0.827 0.262 0.654
0.500 0.000 0.000


# 5
PBE SmPd7Au2, relaxed; formation energy from the elements = 0.107 eV/atom; VASP energy = -4.66 eV/atom; calculated volume = 221.2 Å³/cell; M_tot = 0.00 μB per formula unit
1.0
-3.072 2.530 -2.219
-4.012 -6.271 -1.595
-1.105 4.164 6.278
Au Pd Sm
2 7 1
Direct
0.500 0.701 0.299
0.500 0.299 0.701
0.500 0.289 0.073
0.500 0.500 0.500
0.500 0.073 0.289
0.000 0.800 0.200
0.000 0.200 0.800
0.500 0.711 0.927
0.500 0.927 0.711
0.000 0.000 0.000


# 6
PBE SmPd2Au, relaxed; formation energy from the elements = -0.684 eV/atom; VASP energy = -5.28 eV/atom; calculated volume = 77.3 Å³/cell; M_tot = 0.00 μB per formula unit
1.0
-1.167 -0.683 -4.586
3.418 -0.832 -3.239
0.434 -4.342 -1.956
Pd Au Sm
2 1 1
Direct
0.250 0.250 0.250
0.750 0.750 0.750
0.500 0.500 0.500
0.000 0.000 0.000


# 7
PBE SmPdAu, relaxed; formation energy from the elements = -0.796 eV/atom; VASP energy = -5.19 eV/atom; calculated volume = 130.6 Å³/cell; M_tot = 0.00 μB per formula unit
1.0
4.048 0.000 0.000
2.024 5.085 0.420
2.024 0.740 6.408
Sm Pd Au
2 2 2
Direct
0.454 0.804 0.288
0.546 0.196 0.712
0.148 0.361 0.343
0.852 0.639 0.657
0.835 0.260 0.069
0.165 0.740 0.931


# 8
PBE Sm2Pd5Au4, relaxed; formation energy from the elements = -0.498 eV/atom; VASP energy = -4.91 eV/atom; calculated volume = 224.5 Å³/cell; M_tot = 0.00 μB per formula unit
1.0
-0.616 2.709 -4.771
2.822 -3.295 -5.429
-5.775 -1.753 -3.445
Au Sm Pd
4 2 5
Direct
0.746 0.916 0.591
0.254 0.409 0.084
0.254 0.084 0.409
0.746 0.591 0.916
0.719 0.281 0.281
0.281 0.719 0.719
0.251 0.238 0.762
0.749 0.762 0.238
0.749 0.238 0.762
0.000 0.500 0.500
0.251 0.762 0.238